The following is a PBE+U calculation of AcMnMoO6 after structural relaxation, from the Alexandria database.

Lattice parameters (Å, degrees): 5.2376 5.2376 5.3347 90.00 90.00 120.00
Closest atoms and distances in Å follow each position.
Space group P312 (No. 149)
Asymmetric unit:
Ac: 0.0000 0.0000 0.0000 x1  6 O 2.54
Mn: 0.3333 0.6667 0.5000 x1  6 O 1.94
Mo: 0.6667 0.3333 0.5000 x1  6 O 2.00
O: 0.0077 0.3847 0.7052 x6  1 Mn 1.94, 1 Mo 2.00

Calculated values
VASP energy, eV per atom: -7.527